Record 1
VASP calculation (PBE-GGA) on crystalline KPrAs2Pd4 at its relaxed geometry.

Unit cell a=4.137 b=4.137 c=10.981 alpha=90.00 beta=90.00 gamma=90.00
Atoms (fractional coordinates):
K  0.000  0.000  0.500
Pr  0.000  0.000  0.000
As  0.500  0.500  0.322
As  0.500  0.500  0.678
Pd  0.000  0.500  0.200
Pd  0.500  0.000  0.800
Pd  0.500  0.000  0.200
Pd  0.000  0.500  0.800

* E_form: -400 kJ/mol of formula units
* symmetry: P4/mmm, No. 123


Record 2
VASP calculation (PBE-GGA) on crystalline K2As2PdPt at its relaxed geometry.

Unit cell a=6.512 b=6.435 c=8.585 alpha=112.01 beta=112.29 gamma=90.00
Atoms (fractional coordinates):
K  0.673  0.927  0.345
K  0.173  0.418  0.345
K  0.827  0.582  0.655
K  0.327  0.073  0.655
As  0.421  0.665  0.842
As  0.579  0.335  0.158
As  0.079  0.823  0.158
As  0.921  0.177  0.842
Pd  0.250  0.000  0.000
Pd  0.750  0.000  0.000
Pt  0.750  0.500  0.000
Pt  0.250  0.500  0.000

* E_form: -235 kJ/mol of formula units
* symmetry: Ibam, No. 72


Record 3
VASP calculation (PBE-GGA) on crystalline K2RbAsPd at its relaxed geometry.

Unit cell a=6.285 b=6.285 c=4.823 alpha=90.00 beta=90.00 gamma=90.00
Atoms (fractional coordinates):
K  0.000  0.500  0.000
K  0.500  0.000  0.000
As  0.000  0.000  0.500
Rb  0.500  0.500  0.500
Pd  0.000  0.000  0.000

* E_form: -87 kJ/mol of formula units
* symmetry: P4/mmm, No. 123
* offset from the most stable computed form: 0.0 meV/atom


Record 4
VASP calculation (PBE-GGA) on crystalline KRb2AsPd at its relaxed geometry.

Unit cell a=6.889 b=6.889 c=4.720 alpha=90.00 beta=90.00 gamma=90.00
Atoms (fractional coordinates):
K  0.500  0.500  0.500
As  0.000  0.000  0.000
Rb  0.000  0.500  0.000
Rb  0.500  0.000  0.000
Pd  0.000  0.000  0.500

* E_form: -57 kJ/mol of formula units
* symmetry: P4/mmm, No. 123
* offset from the most stable computed form: 18.4 meV/atom


Record 5
VASP calculation (PBE-GGA) on crystalline KRbAsPd at its relaxed geometry.

Unit cell a=4.544 b=5.785 c=6.540 alpha=116.25 beta=110.33 gamma=90.00
Atoms (fractional coordinates):
K  0.856  0.856  0.713
Rb  0.517  0.517  0.033
As  0.166  0.166  0.331
Pd  0.731  0.231  0.461

* E_form: -119 kJ/mol of formula units
* symmetry: Imm2, No. 44


Record 6
VASP calculation (PBE-GGA) on crystalline KRb2AsPd at its relaxed geometry.

Unit cell a=6.653 b=6.653 c=4.782 alpha=90.00 beta=90.00 gamma=90.00
Atoms (fractional coordinates):
K  0.500  0.500  0.500
As  0.000  0.000  0.500
Rb  0.000  0.500  0.000
Rb  0.500  0.000  0.000
Pd  0.000  0.000  0.000

* E_form: -65 kJ/mol of formula units
* symmetry: P4/mmm, No. 123
* offset from the most stable computed form: 0.0 meV/atom


Record 7
VASP calculation (PBE-GGA) on crystalline K2RbAsPd at its relaxed geometry.

Unit cell a=6.460 b=6.460 c=4.787 alpha=90.00 beta=90.00 gamma=90.00
Atoms (fractional coordinates):
K  0.000  0.500  0.000
K  0.500  0.000  0.000
As  0.000  0.000  0.000
Rb  0.500  0.500  0.500
Pd  0.000  0.000  0.500

* E_form: -75 kJ/mol of formula units
* symmetry: P4/mmm, No. 123
* offset from the most stable computed form: 25.1 meV/atom


Record 8
VASP calculation (PBE-GGA) on crystalline K2As2PdRh at its relaxed geometry.

Unit cell a=6.343 b=6.259 c=8.623 alpha=111.28 beta=111.58 gamma=90.00
Atoms (fractional coordinates):
K  0.412  0.173  0.346
K  0.588  0.827  0.654
K  0.066  0.327  0.654
K  0.934  0.673  0.346
As  0.819  0.081  0.162
As  0.344  0.581  0.162
As  0.656  0.419  0.838
As  0.181  0.919  0.838
Pd  0.000  0.750  0.000
Pd  0.000  0.250  0.000
Rh  0.500  0.750  0.000
Rh  0.500  0.250  0.000

* E_form: -251 kJ/mol of formula units
* symmetry: Ibam, No. 72


Record 9
VASP calculation (PBE-GGA) on crystalline K2AsPdS4 at its relaxed geometry.

Unit cell a=6.519 b=7.381 c=11.039 alpha=82.51 beta=72.83 gamma=63.79
Atoms (fractional coordinates):
K  0.174  0.000  0.652
K  0.826  0.000  0.348
K  0.576  0.500  0.848
K  0.924  0.500  0.152
As  0.250  0.500  0.500
As  0.500  0.000  0.000
Pd  0.750  0.500  0.500
Pd  0.000  0.000  0.000
S  0.331  0.797  0.095
S  0.223  0.203  0.905
S  0.872  0.797  0.905
S  0.574  0.203  0.095
S  0.419  0.703  0.405
S  0.527  0.297  0.595
S  0.878  0.703  0.595
S  0.176  0.297  0.405

* raw formation energy: -482 meV/atom
* symmetry: Fddd, No. 70


Record 10
VASP calculation (PBE-GGA) on crystalline KSbAsPd2 at its relaxed geometry.

Unit cell a=5.100 b=5.396 c=5.100 alpha=90.00 beta=90.00 gamma=90.00
Atoms (fractional coordinates):
Sb  0.000  0.000  0.000
As  0.000  0.500  0.000
K  0.500  0.500  0.500
Pd  0.000  0.000  0.500
Pd  0.500  0.000  0.000

* raw formation energy: 80 meV/atom
* symmetry: P4/mmm, No. 123
* offset from the most stable computed form: 367.9 meV/atom


Record 11
VASP calculation (PBE-GGA) on crystalline KSbAsPd2 at its relaxed geometry.

Unit cell a=4.591 b=5.507 c=10.111 alpha=98.99 beta=90.00 gamma=90.00
Atoms (fractional coordinates):
K  0.750  0.280  0.085
K  0.250  0.720  0.915
Sb  0.750  0.641  0.598
Sb  0.250  0.359  0.402
As  0.750  0.830  0.252
As  0.250  0.170  0.748
Pd  0.250  0.709  0.252
Pd  0.250  0.870  0.538
Pd  0.750  0.130  0.462
Pd  0.750  0.291  0.748

* raw formation energy: -288 meV/atom
* symmetry: P2_1/m, No. 11
* offset from the most stable computed form: 0.0 meV/atom


Record 12
VASP calculation (PBE-GGA) on crystalline K2Sb3AsPd4 at its relaxed geometry.

Unit cell a=4.675 b=4.675 c=10.772 alpha=90.00 beta=90.00 gamma=90.00
Atoms (fractional coordinates):
K  0.500  0.000  0.253
K  0.000  0.500  0.747
Sb  0.000  0.000  0.500
Sb  0.500  0.000  0.875
Sb  0.000  0.500  0.125
As  0.500  0.500  0.500
Pd  0.500  0.500  0.000
Pd  0.000  0.000  0.000
Pd  0.500  0.000  0.620
Pd  0.000  0.500  0.380

* raw formation energy: -447 meV/atom
* symmetry: P-4m2, No. 115


Record 13
VASP calculation (PBE-GGA) on crystalline K2SbAsPd6 at its relaxed geometry.

Unit cell a=6.831 b=7.149 c=7.969 alpha=53.40 beta=57.15 gamma=89.63
Atoms (fractional coordinates):
K  0.741  0.260  0.580
K  0.259  0.740  0.420
Sb  0.000  0.000  0.000
As  0.500  0.500  0.000
Pd  0.293  0.189  0.493
Pd  0.811  0.707  0.975
Pd  0.253  0.747  0.908
Pd  0.747  0.253  0.092
Pd  0.189  0.293  0.025
Pd  0.707  0.811  0.507

* raw formation energy: -297 meV/atom
* symmetry: C2/m, No. 12


Record 14
VASP calculation (PBE-GGA) on crystalline K2Sb2As2Pd5 at its relaxed geometry.

Unit cell a=4.694 b=4.694 c=14.532 alpha=99.29 beta=99.29 gamma=90.00
Atoms (fractional coordinates):
K  0.206  0.206  0.412
K  0.794  0.794  0.588
Sb  0.342  0.342  0.684
Sb  0.658  0.658  0.316
As  0.084  0.084  0.167
As  0.916  0.916  0.833
Pd  0.000  0.000  0.000
Pd  0.612  0.112  0.224
Pd  0.888  0.388  0.776
Pd  0.112  0.612  0.224
Pd  0.388  0.888  0.776

* raw formation energy: -227 meV/atom
* symmetry: I4/mmm, No. 139


Record 15
VASP calculation (PBE-GGA) on crystalline KScAs2Pd at its relaxed geometry.

Unit cell a=5.158 b=4.918 c=5.158 alpha=90.00 beta=90.00 gamma=90.00
Last column: magnetic moment on the atom in μB.
Atoms (fractional coordinates):
Sc  0.000  0.500  0.000  0.17
As  0.000  0.000  0.500  -0.01
As  0.500  0.000  0.000  -0.01
K  0.500  0.500  0.500  0.00
Pd  0.000  0.000  0.000  0.01

* E_form: 12 kJ/mol of formula units
* symmetry: P4/mmm, No. 123


Record 16
VASP calculation (PBE-GGA) on crystalline KAs2PdSe at its relaxed geometry.

Unit cell a=5.411 b=5.411 c=5.458 alpha=90.00 beta=90.00 gamma=90.00
Last column: magnetic moment on the atom in μB.
Atoms (fractional coordinates):
K  0.000  0.000  0.000  0.03
As  0.000  0.500  0.000  0.15
As  0.500  0.000  0.000  0.15
Se  0.000  0.000  0.500  -0.02
Pd  0.500  0.500  0.500  0.15

* raw formation energy: 1630 meV/atom
* symmetry: P4/mmm, No. 123
* offset from the most stable computed form: 1608.4 meV/atom


Record 17
VASP calculation (PBE-GGA) on crystalline KAs2PdSe at its relaxed geometry.

Unit cell a=4.880 b=4.880 c=5.502 alpha=90.00 beta=90.00 gamma=90.00
Last column: magnetic moment on the atom in μB.
Atoms (fractional coordinates):
K  0.500  0.500  0.500  0.00
As  0.000  0.500  0.000  0.11
As  0.500  0.000  0.000  0.11
Se  0.000  0.000  0.500  -0.01
Pd  0.000  0.000  0.000  0.05

* raw formation energy: 21 meV/atom
* symmetry: P4/mmm, No. 123
* offset from the most stable computed form: 0.0 meV/atom


Record 18
VASP calculation (PBE-GGA) on crystalline K2AsPdSe4 at its relaxed geometry.

Unit cell a=6.884 b=7.397 c=11.470 alpha=81.97 beta=72.54 gamma=62.27
Atoms (fractional coordinates):
K  0.169  0.000  0.662
K  0.831  0.000  0.338
K  0.581  0.500  0.838
K  0.919  0.500  0.162
As  0.250  0.500  0.500
As  0.500  0.000  0.000
Pd  0.750  0.500  0.500
Pd  0.000  0.000  0.000
Se  0.332  0.775  0.094
Se  0.201  0.225  0.906
Se  0.893  0.775  0.906
Se  0.574  0.225  0.094
Se  0.418  0.725  0.406
Se  0.549  0.275  0.594
Se  0.857  0.725  0.594
Se  0.176  0.275  0.406

* raw formation energy: -467 meV/atom
* symmetry: Fddd, No. 70


Record 19
VASP calculation (PBE-GGA) on crystalline KSmAs2Pd4 at its relaxed geometry.

Unit cell a=4.119 b=4.119 c=10.880 alpha=90.00 beta=90.00 gamma=90.00
Atoms (fractional coordinates):
K  0.000  0.000  0.500
Sm  0.000  0.000  0.000
As  0.500  0.500  0.321
As  0.500  0.500  0.679
Pd  0.000  0.500  0.196
Pd  0.500  0.000  0.804
Pd  0.500  0.000  0.196
Pd  0.000  0.500  0.804

* E_form: -410 kJ/mol of formula units
* symmetry: P4/mmm, No. 123


Record 20
VASP calculation (PBE-GGA) on crystalline K2SnAsPd6 at its relaxed geometry.

Unit cell a=6.704 b=6.914 c=6.911 alpha=58.07 beta=60.95 gamma=89.92
Atoms (fractional coordinates):
K  0.696  0.304  0.608
K  0.304  0.696  0.392
Sn  0.000  0.000  0.000
As  0.500  0.500  0.000
Pd  0.328  0.135  0.486
Pd  0.865  0.814  0.807
Pd  0.186  0.672  0.949
Pd  0.814  0.328  0.051
Pd  0.135  0.186  0.193
Pd  0.672  0.865  0.514

* E_form: -314 kJ/mol of formula units
* symmetry: P-1, No. 2


Computed values of total magnetization (unit: μB per atom) for the preceding records, in sequence: 0.000 0.000 0.069 0.000 0.000 0.067 0.081 0.000 0.000 0.000 0.000 0.000 0.000 0.000 0.042 0.151 0.102 0.000 0.000 0.000.